[1]
An optimized crystal structure of Ba3RhBr2. Source: the Alexandria database, functional PBE-GGA.

Geometry as CIF:
```
data_Ba3RhBr2
_cell_length_a 8.691
_cell_length_b 8.691
_cell_length_c 8.955
_cell_angle_alpha 75.05
_cell_angle_beta 75.05
_cell_angle_gamma 44.29
_symmetry_space_group_name_H-M 'P 1'
_symmetry_Int_Tables_number 1
loop_
_symmetry_equiv_pos_as_xyz
'x,y,z'
loop_
_atom_site_label
_atom_site_fract_x
_atom_site_fract_y
_atom_site_fract_z
Br1 0.679 0.679 0.410
Ba1 0.864 0.864 0.568
Br2 0.679 0.679 0.910
Br3 0.321 0.321 0.590
Br4 0.321 0.321 0.090
Rh1 0.000 0.000 0.250
Ba2 0.500 0.500 0.250
Ba3 0.136 0.136 0.432
Ba4 0.500 0.500 0.750
Ba5 0.864 0.864 0.068
Ba6 0.136 0.136 0.932
Rh2 0.000 0.000 0.750
```

M_tot (μB/f.u.): 0.0
Fermi-level density of states (states/eV/atom): 0.427
Relative energy among the computed polymorphs (eV per atom): 0.000
Calculated total energy (eV/atom): -3.94

***

[2]
An optimized crystal structure of BaRhBr. Source: the Alexandria database, functional PBE-GGA.

Geometry as CIF:
```
data_BaRhBr
_cell_length_a 4.357
_cell_length_b 12.316
_cell_length_c 4.359
_cell_angle_alpha 84.35
_cell_angle_beta 62.50
_cell_angle_gamma 84.35
_symmetry_space_group_name_H-M 'P 1'
_symmetry_Int_Tables_number 1
loop_
_symmetry_equiv_pos_as_xyz
'x,y,z'
loop_
_atom_site_label
_atom_site_fract_x
_atom_site_fract_y
_atom_site_fract_z
Br1 0.867 0.598 0.683
Br2 0.424 0.309 0.241
Rh1 0.470 0.953 0.286
Ba1 0.181 0.753 0.997
Rh2 0.822 0.955 0.638
Ba2 0.110 0.154 0.927
```

M_tot (μB/f.u.): 0.6
Fermi-level density of states (states/eV/atom): 0.485
Relative energy among the computed polymorphs (eV per atom): 0.000
Calculated total energy (eV/atom): -4.62